1.
Here is an optimized crystal structure of OsCIO2 from Alexandria. Energies are from PBE.

## Properties
E_form (uncorrected) ... 0.6427 eV/atom

a = 3.6755 Å, b = 3.6755 Å, c = 8.3074 Å
α = 90.00°, β = 90.00°, γ = 90.00°
Fractional coordinates of all 5 atoms:
1 Os 0.0000 0.0000 0.0000
2 C 0.5000 0.5000 0.5000
3 I 0.0000 0.0000 0.5000
4 O 0.0000 0.5000 0.0000
5 O 0.5000 0.0000 0.0000

=====

2.
Here is an optimized crystal structure of OsCIO2 from Alexandria. Energies are from PBE.

## Properties
E_form (uncorrected) ... 1.9251 eV/atom

a = 3.7643 Å, b = 3.7643 Å, c = 4.4416 Å
α = 90.00°, β = 90.00°, γ = 90.00°
Fractional coordinates of all 5 atoms:
1 Os 0.0000 0.0000 0.0000
2 C 0.5000 0.5000 0.5000
3 I 0.5000 0.5000 0.0000
4 O 0.0000 0.5000 0.5000
5 O 0.5000 0.0000 0.5000

=====

3.
Here is an optimized crystal structure of Os2CIO from Alexandria. Energies are from PBE.

## Properties
E_form (uncorrected) ... 3.1975 eV/atom

a = 4.9096 Å, b = 4.9096 Å, c = 3.8058 Å
α = 90.00°, β = 90.00°, γ = 90.00°
Fractional coordinates of all 5 atoms:
1 Os 0.0000 0.5000 0.0000
2 Os 0.5000 0.0000 0.0000
3 C 0.0000 0.0000 0.5000
4 I 0.5000 0.5000 0.0000
5 O 0.5000 0.5000 0.5000

=====

4.
Here is an optimized crystal structure of OsCI2O from Alexandria. Energies are from PBE.

## Properties
E_form (uncorrected) ... 1.3150 eV/atom

a = 5.4997 Å, b = 5.4997 Å, c = 3.7305 Å
α = 90.00°, β = 90.00°, γ = 90.00°
Fractional coordinates of all 5 atoms:
1 Os 0.0000 0.0000 0.0000
2 C 0.5000 0.5000 0.5000
3 I 0.0000 0.5000 0.0000
4 I 0.5000 0.0000 0.0000
5 O 0.0000 0.0000 0.5000

=====

5.
Here is an optimized crystal structure of OsC3I2O3 from Alexandria. Energies are from PBE.

## Properties
E_form (uncorrected) ... -0.6102 eV/atom

a = 7.1620 Å, b = 7.1620 Å, c = 10.4084 Å
α = 103.17°, β = 103.17°, γ = 73.10°
Fractional coordinates of all 18 atoms:
1 Os 0.0631 0.0631 0.2088
2 Os 0.9369 0.9369 0.7912
3 C 0.0701 0.7470 0.6606
4 C 0.2257 0.2257 0.1975
5 C 0.2530 0.9299 0.3394
6 C 0.7470 0.0701 0.6606
7 C 0.7743 0.7743 0.8025
8 C 0.9299 0.2530 0.3394
9 I 0.1744 0.1744 0.7764
10 I 0.2206 0.7794 0.0000
11 I 0.7794 0.2206 0.0000
12 I 0.8256 0.8256 0.2236
13 O 0.1532 0.6311 0.5820
14 O 0.3260 0.3260 0.1962
15 O 0.3689 0.8468 0.4180
16 O 0.6311 0.1532 0.5820
17 O 0.6740 0.6740 0.8038
18 O 0.8468 0.3689 0.4180

=====

6.
Here is an optimized crystal structure of OsCI2O from Alexandria. Energies are from PBE.

## Properties
E_form (uncorrected) ... 1.6155 eV/atom

a = 5.0342 Å, b = 5.0342 Å, c = 3.1760 Å
α = 90.00°, β = 90.00°, γ = 90.00°
Fractional coordinates of all 5 atoms:
1 Os 0.0000 0.0000 0.0000
2 C 0.5000 0.5000 0.5000
3 I 0.0000 0.5000 0.5000
4 I 0.5000 0.0000 0.5000
5 O 0.5000 0.5000 0.0000

=====

7.
Here is an optimized crystal structure of PdCIO2 from Alexandria. Energies are from PBE.

## Properties
E_form (uncorrected) ... 1.2094 eV/atom

a = 3.7393 Å, b = 3.7393 Å, c = 8.2895 Å
α = 90.00°, β = 90.00°, γ = 90.00°
Fractional coordinates of all 5 atoms:
1 Pd 0.0000 0.0000 0.0000
2 C 0.5000 0.5000 0.5000
3 I 0.0000 0.0000 0.5000
4 O 0.0000 0.5000 0.0000
5 O 0.5000 0.0000 0.0000

=====

8.
Here is an optimized crystal structure of PdCIO2 from Alexandria. Energies are from PBE.

## Properties
E_form (uncorrected) ... 1.2710 eV/atom

a = 3.6910 Å, b = 3.6910 Å, c = 4.8065 Å
α = 90.00°, β = 90.00°, γ = 90.00°
Fractional coordinates of all 5 atoms:
1 Pd 0.0000 0.0000 0.0000
2 C 0.5000 0.5000 0.5000
3 I 0.5000 0.5000 0.0000
4 O 0.0000 0.5000 0.5000
5 O 0.5000 0.0000 0.5000

=====

Values of calculated total energy, in order: -5.74, -4.46, -4.44, -4.39, -6.93, -4.09, -3.97, -3.91, all in eV per atom.